A geometry-optimized Ac2TbPm5Tm structure. Source: Alexandria, functional PBE-GGA.

Cell: 10.683 10.683 10.925 Å, 90.00 90.00 148.43°
Atoms (fractional coordinates):
Ac1 0.113 0.887 0.500
Ac2 0.117 0.883 0.083
Ac3 0.883 0.117 0.583
Ac4 0.887 0.113 0.000
Tb1 0.408 0.592 0.233
Tb2 0.592 0.408 0.733
Pm1 0.019 0.981 0.787
Pm2 0.281 0.719 0.077
Pm3 0.295 0.705 0.468
Pm4 0.385 0.615 0.787
Pm5 0.483 0.517 0.509
Pm6 0.517 0.483 0.009
Pm7 0.615 0.385 0.287
Pm8 0.705 0.295 0.968
Pm9 0.719 0.281 0.577
Pm10 0.981 0.019 0.287
Tm1 0.204 0.796 0.776
Tm2 0.796 0.204 0.276

Calculated total energy = -39.82 eV per formula unit
Space-group type = Cmc2_1 (36)